## Na2SrFeO4 (PBE+U)

Data for crystalline Na2SrFeO4 at its relaxed geometry.

## Properties
**DFT total energy**: -5.40 eV/atom

Cell: 5.4740 5.4740 5.4740 Å, 116.95 116.95 95.37°
With the nearest neighbours (Å) after each atom.
Fractional positions:
Na: 0.0000 0.0000 0.0000  4 O 2.43
Na: 0.7500 0.2500 0.5000  4 O 2.30
Sr: 0.2500 0.7500 0.5000  4 O 2.44
Fe: 0.5000 0.5000 0.0000  4 O 1.83
O: 0.1909 0.6127 0.9799  1 Fe 1.83
O: 0.3873 0.3671 0.5781  1 Fe 1.83
O: 0.6328 0.2110 0.0201  1 Fe 1.83
O: 0.7890 0.8091 0.4219  1 Fe 1.83